A plane-wave DFT calculation with PBE was carried out for a relaxed ScPtW2 crystal.

```
ScPtW2
1.0
0.7060 1.0864 4.3566
-0.4146 4.3165 1.3617
-3.4968 1.2269 2.6317
Sc W Pt
1 2 1
Direct
0.0000 0.0000 0.0000 Sc
0.2500 0.2500 0.2500 W
0.7500 0.7500 0.7500 W
0.5000 0.5000 0.5000 Pt
```

Output
- calculated volume (Å³ per atom) = 16.6
- E_tot (eV/atom) = -9.21
- calculated formation energy (eV per atom) = 0.359
- N(E_F) (states/eV per cell) = 5.9
- SG = No. 225



A plane-wave DFT calculation with PBE was carried out for a relaxed KNa2SnP crystal.

```
KNa2SnP
1.0
5.8630 0.0000 0.0000
0.0000 5.3662 0.0000
0.0000 0.0000 5.8630
P K Sn Na
1 1 1 2
Direct
0.0000 0.5000 0.0000 P
0.5000 0.5000 0.5000 K
0.0000 0.0000 0.0000 Sn
0.0000 0.0000 0.5000 Na
0.5000 0.0000 0.0000 Na
```

Output
- calculated volume (Å³ per atom) = 36.9
- E_tot (eV/atom) = -2.52
- calculated formation energy (eV per atom) = 0.109
- N(E_F) (states/eV per cell) = 2.5
- SG = No. 123



A plane-wave DFT calculation with PBE was carried out for a relaxed Tb2PmNdTe6 crystal.

```
Tb2PmNdTe6
1.0
-0.0659 2.1533 -7.5343
4.6385 -3.6455 -5.1577
-3.6252 -5.2080 -5.5314
Tb Pm Nd Te
2 1 1 6
Direct
0.5089 0.5089 0.4734 Tb
0.0091 0.0091 0.9727 Tb
0.8199 0.8199 0.5402 Pm
0.3195 0.3195 0.0414 Nd
0.6148 0.2336 0.2485 Te
0.2335 0.9031 0.2486 Te
0.9031 0.6148 0.2485 Te
0.4052 0.7349 0.7473 Te
0.7349 0.1126 0.7473 Te
0.1126 0.4052 0.7473 Te
```

Output
- calculated volume (Å³ per atom) = 37.8
- E_tot (eV/atom) = -5.14
- formation energy (no corrections) (eV/atom) = -1.3753
- SG = No. 146



A plane-wave DFT calculation with PBE was carried out for a relaxed CaTe2Ir crystal.

```
CaTe2Ir
1.0
-5.8227 2.0588 -5.9707
-7.6897 -0.7519 -3.7542
-7.6162 3.0857 -2.5026
Ca Ir Te
1 1 2
Direct
0.4919 0.4919 0.4919 Ca
0.7364 0.7364 0.7364 Ir
0.0287 0.0287 0.0287 Te
0.2430 0.2430 0.2430 Te
```

Output
- calculated volume (Å³ per atom) = 29.2
- E_tot (eV/atom) = -4.60
- formation energy (no corrections) (eV/atom) = -0.3095
- offset from the most stable computed form (meV/atom) = 275
- N(E_F) (states/eV per cell) = 2.6
- SG = No. 160